(1)
KYTc2 | PBE | relaxed

Results
The space-group type is R-3m. The calculation puts the mass density at 6.13 Mg/m³. The formation energy comes out at 1.061 eV/atom.

Cell and atoms, written as POSCAR:
```
KYTc2
1.0
10.614 -0.044 -0.026
10.170 3.037 -0.026
10.170 1.465 2.661
K Tc Y
1 2 1
Cartesian
23.216 3.343 1.957
30.665 4.416 2.585
15.766 2.270 1.329
7.739 1.114 0.652
```

---

(2)
KYTc2 | PBE | relaxed

Results
The space-group type is Immm. The calculation puts the mass density at 6.76 Mg/m³. The formation energy comes out at 1.172 eV/atom.

Cell and atoms, written as POSCAR:
```
KYTc2
1.0
5.820 0.012 -0.007
3.085 4.936 0.007
-4.216 -2.900 2.774
K Tc Y
1 2 1
Cartesian
3.029 -0.207 1.384
0.023 0.013 0.000
4.429 2.461 0.000
1.661 2.255 1.390
```

---

(3)
KYTc3 | PBE | relaxed

Results
The space-group type is Pm-3m. The calculation puts the mass density at 4.92 Mg/m³. The formation energy comes out at 2.205 eV/atom.

Cell and atoms, written as POSCAR:
```
KYTc3
1.0
-5.051 -0.065 1.326
1.008 -3.581 3.665
0.863 3.801 3.476
Y K Tc
1 1 3
Cartesian
0.000 0.000 0.000
-1.590 0.077 4.233
0.504 -1.790 1.833
0.432 1.900 1.738
-2.525 -0.033 0.663
```

---

(4)
KYTc2 | PBE | relaxed

Results
The space-group type is C2/m. The calculation puts the mass density at 4.07 Mg/m³. The formation energy comes out at 0.708 eV/atom.

Cell and atoms, written as POSCAR:
```
KYTc2
1.0
-5.416 -1.052 0.435
-3.706 -2.533 3.237
-2.480 5.290 4.309
K Tc Y
1 2 1
Cartesian
-8.701 1.279 5.986
-0.379 0.787 0.647
-5.422 0.066 3.344
-2.900 0.426 1.995
```

---

(5)
KYTc2 | PBE | relaxed

Results
The space-group type is I-42d. The calculation puts the mass density at 4.90 Mg/m³. The formation energy comes out at 1.285 eV/atom.

Cell and atoms, written as POSCAR:
```
KYTc2
1.0
-3.194 -2.885 -1.744
2.724 -0.793 -3.676
4.116 -9.622 2.193
Y K Tc
2 2 4
Cartesian
0.000 0.000 0.000
0.344 -7.173 -1.131
-0.235 -1.839 -2.710
3.303 -6.127 -2.097
-1.180 -4.807 -1.303
-0.308 -5.647 -3.410
2.439 -8.458 0.249
0.424 -9.779 -0.059
```

---

(6)
KYTc2 | PBE | relaxed

Results
The space-group type is Cmmm. The calculation puts the mass density at 6.74 Mg/m³. The formation energy comes out at 1.135 eV/atom.

Cell and atoms, written as POSCAR:
```
KYTc2
1.0
-1.057 -2.127 5.428
5.290 0.096 -2.667
0.501 2.517 1.084
K Tc Y
1 2 1
Cartesian
2.895 1.307 -0.791
0.000 0.000 0.000
2.117 -1.015 1.381
-0.278 0.195 3.256
```

---

(7)
KYTc2 | PBE | relaxed

Results
The space-group type is F-43m. The calculation puts the mass density at 6.61 Mg/m³. The formation energy comes out at 1.102 eV/atom.

Cell and atoms, written as POSCAR:
```
KYTc2
1.0
-2.650 4.066 -0.315
-0.969 -0.263 4.759
4.611 -0.024 -1.548
K Tc Y
1 2 1
Cartesian
0.076 2.972 0.180
0.000 0.000 0.000
0.916 0.807 2.716
-1.809 1.902 2.222
```

---

(8)
KYTc | PBE | relaxed

Results
The space-group type is P3m1. The calculation puts the mass density at 5.28 Mg/m³. The formation energy comes out at 1.065 eV/atom.

Cell and atoms, written as POSCAR:
```
KYTc
1.0
5.375 0.000 0.000
-2.688 4.655 0.000
0.000 0.000 2.841
K Tc Y
1 1 1
Cartesian
0.000 0.000 2.360
2.688 1.552 0.949
0.000 3.103 2.373
```

---

(9)
KYTc2 | PBE | relaxed

Results
The space-group type is Cm. The calculation puts the mass density at 4.24 Mg/m³. The formation energy comes out at 0.430 eV/atom.

Cell and atoms, written as POSCAR:
```
KYTc2
1.0
-2.013 2.260 -2.800
-0.157 -1.240 -3.929
-7.933 -4.057 -0.471
K Tc Y
1 2 1
Cartesian
-1.972 -0.411 -1.967
-7.008 -3.494 -0.697
-8.130 -2.617 -5.258
-5.976 -2.090 -3.347
```

---

(10)
KYTc2 | PBE | relaxed

Results
The space-group type is Imm2. The calculation puts the mass density at 4.43 Mg/m³. The formation energy comes out at 0.636 eV/atom.

Cell and atoms, written as POSCAR:
```
KYTc2
1.0
7.349 -0.066 -0.007
4.793 5.572 0.007
-5.673 -3.630 2.941
K Tc Y
1 2 1
Cartesian
4.380 -0.242 1.467
0.454 0.206 0.000
1.312 1.765 1.474
6.393 2.899 0.000
```

---

(11)
KYTc2 | PBE | relaxed

Results
The space-group type is P2/m. The calculation puts the mass density at 4.89 Mg/m³. The formation energy comes out at 0.671 eV/atom.

Cell and atoms, written as POSCAR:
```
KYTc2
1.0
-4.489 1.601 0.061
-0.921 -2.523 -1.536
-2.095 -6.064 4.926
K Tc Y
1 2 1
Cartesian
-4.507 -5.640 2.573
-1.044 -2.894 -0.868
-1.385 -3.923 1.027
-2.998 -1.346 0.878
```

---

(12)
KYTc2 | PBE | relaxed

Results
The space-group type is Pm. The calculation puts the mass density at 4.88 Mg/m³. The formation energy comes out at 0.495 eV/atom.

Cell and atoms, written as POSCAR:
```
KYTc2
1.0
-3.459 -1.804 -0.917
0.505 -2.094 2.217
-3.957 3.932 7.187
K Tc Y
1 2 1
Cartesian
-4.551 0.710 7.010
0.063 -1.584 2.879
-2.360 -0.690 1.504
-1.284 0.423 4.012
```